Entry from Alexandria: a relaxed KBa2Na4 crystal (PBE).

Calculated values
energy of formation from the pure elements = 0.0540 eV/atom
SG = No. 65

a = 4.4170 Å, b = 36.6744 Å, c = 4.3020 Å
α = 90.00°, β = 90.00°, γ = 90.00°
Positions (direct):
K (0.0000, 0.0000, 0.0000)
K (0.5000, 0.5000, 0.0000)
Ba (0.0000, 0.3015, 0.5000)
Ba (0.0000, 0.6985, 0.5000)
Ba (0.5000, 0.1985, 0.5000)
Ba (0.5000, 0.8015, 0.5000)
Na (0.0000, 0.1250, 0.0000)
Na (0.0000, 0.4233, 0.5000)
Na (0.0000, 0.5767, 0.5000)
Na (0.0000, 0.8750, 0.0000)
Na (0.5000, 0.0767, 0.5000)
Na (0.5000, 0.3750, 0.0000)
Na (0.5000, 0.6250, 0.0000)
Na (0.5000, 0.9233, 0.5000)